This record from the Alexandria database describes CaPuP2O8 after structural relaxation. The functional is GGA-PBE.

a = 5.8414 Å, b = 5.8414 Å, c = 5.8414 Å
α = 105.91°, β = 105.91°, γ = 116.86°
With the nearest neighbours (Å) after each atom.
Atoms (fractional coordinates):
Pu  0.2500  0.7500  0.5000  8 O 2.35-2.40
O  0.9112  0.2406  0.3295  1 P 1.55
Ca  0.0000  0.0000  0.0000  8 O 2.38-2.45
O  0.9112  0.5817  0.6705  1 P 1.55
O  0.4183  0.0888  0.3295  1 P 1.55
P  0.7500  0.2500  0.5000  4 O 1.55
O  0.7594  0.0888  0.6705  1 P 1.55
O  0.3459  0.5219  0.1760  1 P 1.56
O  0.4781  0.6541  0.8240  1 P 1.56
O  0.3459  0.1699  0.8240  1 P 1.56
P  0.5000  0.5000  0.0000  4 O 1.56
O  0.8301  0.6541  0.1760  1 P 1.56

Output
The value obtained for the uncorrected formation energy is -2.69 eV per atom. As for the volume: 151.50 Å³ per cell.